No. 1
Below is a relaxed Si3AgF crystal, with properties calculated at the PBE level.

a b c (Å): 4.8599 4.8599 4.8599
angles (deg): 90.00 90.00 90.00
Space group Pm-3m (No. 221)
Symmetry-distinct sites (fractional):
Si 0.0000 0.0000 0.5000 (multiplicity 3)
Ag 0.0000 0.0000 0.0000 (multiplicity 1)
F 0.5000 0.5000 0.5000 (multiplicity 1)

Formation energy from raw total energies   872 meV per atom
Raw total energy   -3.33 eV/atom
Energy relative to the lowest polymorph listed for this composition   428 meV/atom
M_tot   0.0000 μB per atom

No. 2
Below is a relaxed SiAg6F12 crystal, with properties calculated at the PBE level.

a b c (Å): 10.1655 10.1655 9.7749
angles (deg): 90.00 90.00 120.00
Space group R-3 (No. 148, hexagonal axes)
Symmetry-distinct sites (fractional):
Si 0.0000 0.0000 0.0000 (multiplicity 3)
Ag 0.0424 0.7951 0.6545 (multiplicity 18)
F 0.0212 0.7889 0.3973 (multiplicity 18)
F 0.0517 0.8938 0.8993 (multiplicity 18)

Formation energy from raw total energies   -1635 meV per atom
Raw total energy   -4.00 eV/atom
M_tot   0.1072 μB per atom

No. 3
Below is a relaxed SiAg3F8 crystal, with properties calculated at the PBE level.

a b c (Å): 5.6361 10.8229 6.8190
angles (deg): 90.00 90.00 90.00
Space group C222 (No. 21)
Symmetry-distinct sites (fractional):
Si 0.0000 0.0000 0.0000 (multiplicity 2)
Ag 0.0000 0.0000 0.5000 (multiplicity 2)
Ag 0.2500 0.2500 0.2527 (multiplicity 4)
F 0.0000 0.1630 0.0000 (multiplicity 4)
F 0.0000 0.2014 0.5000 (multiplicity 4)
F 0.2140 0.0036 0.1770 (multiplicity 8)

Formation energy from raw total energies   -1930 meV per atom
Raw total energy   -4.34 eV/atom
M_tot   0.0582 μB per atom

No. 4
Below is a relaxed SiAg3F crystal, with properties calculated at the PBE level.

a b c (Å): 4.5731 4.5731 4.5731
angles (deg): 90.00 90.00 90.00
Space group Pm-3m (No. 221)
Symmetry-distinct sites (fractional):
Si 0.0000 0.0000 0.0000 (multiplicity 1)
Ag 0.0000 0.5000 0.5000 (multiplicity 3)
F 0.5000 0.5000 0.5000 (multiplicity 1)

Formation energy from raw total energies   212 meV per atom
Raw total energy   -2.96 eV/atom
Energy relative to the lowest polymorph listed for this composition   0 meV/atom
M_tot   0.0000 μB per atom

No. 5
Below is a relaxed Si3AgF crystal, with properties calculated at the PBE level.

a b c (Å): 4.4155 4.4155 4.4155
angles (deg): 90.00 90.00 90.00
Space group Pm-3m (No. 221)
Symmetry-distinct sites (fractional):
Si 0.0000 0.0000 0.5000 (multiplicity 3)
Ag 0.5000 0.5000 0.5000 (multiplicity 1)
F 0.0000 0.0000 0.0000 (multiplicity 1)

Formation energy from raw total energies   444 meV per atom
Raw total energy   -3.75 eV/atom
Energy relative to the lowest polymorph listed for this composition   0 meV/atom
M_tot   0.0000 μB per atom

No. 6
Below is a relaxed TaSiAg2F crystal, with properties calculated at the PBE level.

a b c (Å): 4.6876 4.6876 4.8978
angles (deg): 90.00 90.00 90.00
Space group P4/mmm (No. 123)
Symmetry-distinct sites (fractional):
Ta 0.0000 0.0000 0.0000 (multiplicity 1)
Si 0.0000 0.0000 0.5000 (multiplicity 1)
Ag 0.0000 0.5000 0.5000 (multiplicity 2)
F 0.5000 0.5000 0.0000 (multiplicity 1)

Formation energy from raw total energies   539 meV per atom
Raw total energy   -4.43 eV/atom
M_tot   0.3467 μB per atom

No. 7
Below is a relaxed TlSiAg2F8 crystal, with properties calculated at the PBE level.

a b c (Å): 5.3299 5.3299 8.0129
angles (deg): 90.00 90.00 120.00
Space group P-3m1 (No. 164)
Symmetry-distinct sites (fractional):
Tl 0.0000 0.0000 0.0000 (multiplicity 1)
Si 0.0000 0.0000 0.5000 (multiplicity 1)
Ag 0.3333 0.6667 0.3477 (multiplicity 2)
F 0.1522 0.3045 0.6231 (multiplicity 6)
F 0.3333 0.6667 0.0888 (multiplicity 2)

Formation energy from raw total energies   -2000 meV per atom
Raw total energy   -4.37 eV/atom
M_tot   0.0859 μB per atom

No. 8
Below is a relaxed TlSiAg2F6 crystal, with properties calculated at the PBE level.

a b c (Å): 5.2831 5.6057 5.8346
angles (deg): 86.27 74.49 69.44
Space group P-1 (No. 2)
Symmetry-distinct sites (fractional):
Tl 0.0000 0.0000 0.0000 (multiplicity 1)
Si 0.0000 0.5000 0.5000 (multiplicity 1)
Ag 0.4757 0.1810 0.8335 (multiplicity 2)
F 0.1791 0.5756 0.6747 (multiplicity 2)
F 0.1927 0.1827 0.5122 (multiplicity 2)
F 0.2447 0.5285 0.2466 (multiplicity 2)

Formation energy from raw total energies   -2098 meV per atom
Raw total energy   -4.57 eV/atom
M_tot   0.0000 μB per atom

No. 9
Below is a relaxed Tl2SiAgF6 crystal, with properties calculated at the PBE level.

a b c (Å): 5.2506 5.9674 6.6379
angles (deg): 89.73 69.07 66.41
Space group P-1 (No. 2)
Symmetry-distinct sites (fractional):
Tl 0.0014 0.3050 0.1957 (multiplicity 2)
Si 0.5000 0.0000 0.5000 (multiplicity 1)
Ag 0.5000 0.5000 0.0000 (multiplicity 1)
F 0.1932 0.0613 0.7409 (multiplicity 2)
F 0.3253 0.9227 0.3564 (multiplicity 2)
F 0.3427 0.3046 0.4629 (multiplicity 2)

Formation energy from raw total energies   -2187 meV per atom
Raw total energy   -4.61 eV/atom
M_tot   0.0000 μB per atom

No. 10
Below is a relaxed TlSiAgF6 crystal, with properties calculated at the PBE level.

a b c (Å): 5.3371 5.8654 5.9117
angles (deg): 60.28 89.84 89.68
Space group P1 (No. 1)
Symmetry-distinct sites (fractional):
Tl 0.0000 0.0000 0.0000 (multiplicity 1)
Si 0.5018 0.6669 0.6664 (multiplicity 1)
Ag 0.4988 0.3349 0.3298 (multiplicity 1)
F 0.3151 0.4303 0.9049 (multiplicity 1)
F 0.3161 0.6655 0.4289 (multiplicity 1)
F 0.3167 0.9097 0.6643 (multiplicity 1)
F 0.6867 0.4273 0.6622 (multiplicity 1)
F 0.6874 0.6620 0.9070 (multiplicity 1)
F 0.6883 0.9068 0.4312 (multiplicity 1)

Formation energy from raw total energies   -2438 meV per atom
Raw total energy   -4.87 eV/atom
M_tot   0.0131 μB per atom

No. 11
Below is a relaxed SmAgF crystal, with properties calculated at the PBE level.

a b c (Å): 7.0505 4.0886 8.9681
angles (deg): 90.00 105.30 90.00
Space group C2/m (No. 12)
Symmetry-distinct sites (fractional):
Sm 0.1005 0.0000 0.3030 (multiplicity 4)
Ag 0.1395 0.5000 0.9179 (multiplicity 4)
F 0.1938 0.0000 0.5806 (multiplicity 4)

Formation energy from raw total energies   -1709 meV per atom
Raw total energy   -4.86 eV/atom
M_tot   0.1154 μB per atom

No. 12
Below is a relaxed Sm2AgF crystal, with properties calculated at the PBE level.

a b c (Å): 3.3211 3.3211 29.2416
angles (deg): 90.00 90.00 120.00
Space group R-3m (No. 166, hexagonal axes)
Symmetry-distinct sites (fractional):
Sm 0.0000 0.0000 0.1026 (multiplicity 6)
Ag 0.0000 0.0000 0.0000 (multiplicity 3)
F 0.0000 0.0000 0.5000 (multiplicity 3)

Formation energy from raw total energies   -823 meV per atom
Raw total energy   -4.36 eV/atom
M_tot   0.0000 μB per atom

No. 13
Below is a relaxed SmAg2F8 crystal, with properties calculated at the PBE level.

a b c (Å): 7.1125 7.1125 4.1942
angles (deg): 90.00 90.00 120.00
Space group P-3 (No. 147)
Symmetry-distinct sites (fractional):
Sm 0.0000 0.0000 0.0000 (multiplicity 1)
Ag 0.3333 0.6667 0.2687 (multiplicity 2)
F 0.1577 0.8402 0.2676 (multiplicity 6)
F 0.3333 0.6667 0.7690 (multiplicity 2)

Formation energy from raw total energies   -1992 meV per atom
Raw total energy   -4.30 eV/atom
M_tot   0.1019 μB per atom

No. 14
Below is a relaxed SmAg6F12 crystal, with properties calculated at the PBE level.

a b c (Å): 10.7176 10.7176 9.5119
angles (deg): 90.00 90.00 120.00
Space group R-3 (No. 148, hexagonal axes)
Symmetry-distinct sites (fractional):
Sm 0.0000 0.0000 0.0000 (multiplicity 3)
Ag 0.0385 0.2509 0.6445 (multiplicity 18)
F 0.0063 0.2292 0.4032 (multiplicity 18)
F 0.0309 0.1887 0.8704 (multiplicity 18)

Formation energy from raw total energies   -1698 meV per atom
Raw total energy   -4.03 eV/atom
M_tot   0.1647 μB per atom

No. 15
Below is a relaxed SmTl2AgF6 crystal, with properties calculated at the PBE level.

a b c (Å): 6.4358 6.5739 11.2867
angles (deg): 90.00 123.65 90.00
Space group P2_1/c (No. 14)
Symmetry-distinct sites (fractional):
Sm 0.0000 0.0000 0.0000 (multiplicity 2)
Tl 0.2670 0.0399 0.7538 (multiplicity 4)
Ag 0.5000 0.0000 0.5000 (multiplicity 2)
F 0.1365 0.0369 0.2313 (multiplicity 4)
F 0.2446 0.7228 0.0538 (multiplicity 4)
F 0.3228 0.1944 0.0396 (multiplicity 4)

Formation energy from raw total energies   -2518 meV per atom
Raw total energy   -4.87 eV/atom
M_tot   0.0092 μB per atom

No. 16
Below is a relaxed AgSn2F crystal, with properties calculated at the PBE level.

a b c (Å): 6.8057 6.8057 6.8057
angles (deg): 90.00 90.00 90.00
Space group Fm-3m (No. 225)
Symmetry-distinct sites (fractional):
Ag 0.0000 0.0000 0.0000 (multiplicity 4)
Sn 0.2500 0.2500 0.2500 (multiplicity 8)
F 0.0000 0.0000 0.5000 (multiplicity 4)

Formation energy from raw total energies   -565 meV per atom
Raw total energy   -3.75 eV/atom
Energy relative to the lowest polymorph listed for this composition   0 meV/atom
M_tot   0.0000 μB per atom

No. 17
Below is a relaxed Ag3SnF8 crystal, with properties calculated at the PBE level.

a b c (Å): 5.7305 11.2107 7.0260
angles (deg): 90.00 90.00 90.00
Space group C222 (No. 21)
Symmetry-distinct sites (fractional):
Ag 0.0000 0.0000 0.0000 (multiplicity 2)
Ag 0.2500 0.2500 0.7632 (multiplicity 4)
Sn 0.0000 0.0000 0.5000 (multiplicity 2)
F 0.0000 0.1824 0.5000 (multiplicity 4)
F 0.0000 0.1939 0.0000 (multiplicity 4)
F 0.2406 0.0131 0.7050 (multiplicity 8)

Formation energy from raw total energies   -1651 meV per atom
Raw total energy   -3.95 eV/atom
M_tot   0.0629 μB per atom

No. 18
Below is a relaxed Ag3SnF7 crystal, with properties calculated at the PBE level.

a b c (Å): 8.1650 7.9914 6.1402
angles (deg): 90.00 122.63 90.00
Space group Cm (No. 8)
Symmetry-distinct sites (fractional):
Ag 0.0000 0.0000 0.0000 (multiplicity 2)
Ag 0.4976 0.2492 0.6004 (multiplicity 4)
Sn 0.0269 0.5000 0.1222 (multiplicity 2)
F 0.0922 0.2551 0.2648 (multiplicity 4)
F 0.1793 0.5000 0.9504 (multiplicity 2)
F 0.3036 0.5000 0.4788 (multiplicity 2)
F 0.3324 0.1581 0.8193 (multiplicity 4)
F 0.3630 0.0000 0.2777 (multiplicity 2)

Formation energy from raw total energies   -1658 meV per atom
Raw total energy   -3.99 eV/atom
M_tot   0.0000 μB per atom

No. 19
Below is a relaxed Ag4SnF10 crystal, with properties calculated at the PBE level.

a b c (Å): 5.5080 6.7729 6.7791
angles (deg): 80.60 66.12 66.01
Space group P-1 (No. 2)
Symmetry-distinct sites (fractional):
Ag 0.0854 0.1123 0.2165 (multiplicity 2)
Ag 0.3021 0.2836 0.6122 (multiplicity 2)
Sn 0.5000 0.5000 0.0000 (multiplicity 1)
F 0.1113 0.7795 0.0454 (multiplicity 2)
F 0.1579 0.4550 0.2795 (multiplicity 2)
F 0.2504 0.0006 0.4989 (multiplicity 2)
F 0.3916 0.5455 0.7203 (multiplicity 2)
F 0.4382 0.2207 0.9543 (multiplicity 2)

Formation energy from raw total energies   -1495 meV per atom
Raw total energy   -3.77 eV/atom
M_tot   0.1391 μB per atom

No. 20
Below is a relaxed Ag6SnF12 crystal, with properties calculated at the PBE level.

a b c (Å): 10.3150 10.3150 9.9668
angles (deg): 90.00 90.00 120.00
Space group R-3 (No. 148, hexagonal axes)
Symmetry-distinct sites (fractional):
Ag 0.0370 0.7901 0.1470 (multiplicity 18)
Sn 0.0000 0.0000 0.5000 (multiplicity 3)
F 0.0169 0.7883 0.8955 (multiplicity 18)
F 0.0467 0.8672 0.3868 (multiplicity 18)

Formation energy from raw total energies   -1464 meV per atom
Raw total energy   -3.76 eV/atom
M_tot   0.1060 μB per atom